Entry A
Computed, not measured: a relaxed Ta3VOs2 crystal at the PBE level of DFT.

abc: 3.1593 3.1593 9.6412
angles: 90.00 90.00 90.00
Last column: nearest neighbours and their distance in Å.
Space group P4/mmm (No. 123)
Asymmetric unit:
Ta 0.0000 0.0000 0.0000  8 Os 2.75
Ta 0.0000 0.0000 0.3410  4 V 2.71, 4 Os 2.80
V 0.5000 0.5000 0.5000  8 Ta 2.71
Os 0.5000 0.5000 0.1663  8 Ta 2.75-2.80

- Spin magnetization: 0.00 μB per cell
- Crystal system: tetragonal


Entry B
Computed, not measured: a relaxed Ta3VOs2 crystal at the PBE level of DFT.

abc: 4.4862 13.4414 6.3656
angles: 90.00 90.00 90.00
Last column: nearest neighbours and their distance in Å.
Space group Cmmm (No. 65)
Asymmetric unit:
Ta 0.0000 0.0000 0.2445  2 V 2.72, 6 Os 2.73-2.77
Ta 0.0000 0.3314 0.2437  3 V 2.71-2.73, 5 Os 2.75-2.79
V 0.0000 0.1661 0.0000  8 Ta 2.71-2.73
Os 0.0000 0.1655 0.5000  8 Ta 2.76-2.77
Os 0.0000 0.5000 0.0000  8 Ta 2.73-2.75
Os 0.0000 0.5000 0.5000  8 Ta 2.77-2.79

- Spin magnetization: 0.00 μB per cell
- Crystal system: orthorhombic


Which structure is the least stable? The one labeled entry A.


Entry A
Computed, not measured: a relaxed TaV2Os2 crystal at the PBE level of DFT.

abc: 7.2734 7.2734 2.8815
angles: 90.00 90.00 90.00
Last column: nearest neighbours and their distance in Å.
Space group P4/mbm (No. 127)
Asymmetric unit:
Ta 0.0000 0.0000 0.0000  4 Os 2.81, 2 Ta 2.88, 8 V 3.10
V 0.1569 0.3431 0.5000  6 Os 2.53-2.60
Os 0.1410 0.6410 0.0000  6 V 2.53-2.60, 2 Ta 2.81

- Spin magnetization: 0.00 μB per cell
- Crystal system: tetragonal


Entry B
Computed, not measured: a relaxed TaV2Os2 crystal at the PBE level of DFT.

abc: 7.2571 7.2571 2.8513
angles: 90.00 90.00 90.00
Last column: nearest neighbours and their distance in Å.
Space group P4/mbm (No. 127)
Asymmetric unit:
Ta 0.0000 0.0000 0.0000  4 V 2.78, 2 Ta 2.85, 8 Os 3.09
V 0.1455 0.3545 0.0000  6 Os 2.50-2.60, 2 Ta 2.78
Os 0.1547 0.6547 0.5000  6 V 2.50-2.60

- Spin magnetization: 0.00 μB per cell
- Crystal system: tetragonal


Which structure is the least stable? The one labeled entry A.


Entry A
Computed, not measured: a relaxed TaOs2W crystal at the PBE level of DFT.

abc: 5.7207 7.6072 2.8921
angles: 90.00 90.00 90.00
Last column: nearest neighbours and their distance in Å.
Space group Cmmm (No. 65)
Asymmetric unit:
Ta 0.0000 0.0000 0.0000  8 Os 2.78, 2 W 2.86, 2 Ta 2.89
Os 0.2500 0.2500 0.5000  4 Ta 2.78, 4 W 2.78, 4 Os 2.86-2.89
W 0.0000 0.5000 0.0000  8 Os 2.78, 2 Ta 2.86, 2 W 2.89

- Spin magnetization: 0.00 μB per cell
- Crystal system: orthorhombic


Entry B
Computed, not measured: a relaxed TaOs2W crystal at the PBE level of DFT.

abc: 6.3218 6.3218 6.3218
angles: 90.00 90.00 90.00
Last column: nearest neighbours and their distance in Å.
Space group F-43m (No. 216)
Asymmetric unit:
Ta 0.0000 0.0000 0.0000  4 Os 2.74, 4 W 2.74
Os 0.0000 0.0000 0.5000  4 W 2.74, 4 Os 2.74
Os 0.2500 0.2500 0.7500  4 Os 2.74, 4 Ta 2.74
W 0.2500 0.2500 0.2500  4 Ta 2.74, 4 Os 2.74

- Spin magnetization: 3.02 μB per cell
- Crystal system: cubic


Which structure is the least stable? The one labeled entry B.


Entry A
Computed, not measured: a relaxed TaOs2W crystal at the PBE level of DFT.

abc: 2.7871 4.2588 5.4855
angles: 90.00 104.26 90.00
Last column: nearest neighbours and their distance in Å.
Space group P2/m (No. 10)
Asymmetric unit:
Ta 0.0000 0.0000 0.0000  4 Os 2.64, 2 W 2.74, 2 Ta 2.79
Os 0.4145 0.5000 0.2488  2 Ta 2.64, 4 Os 2.68-2.88, 4 W 2.83-2.92
W 0.0000 0.0000 0.5000  2 Ta 2.74, 2 W 2.79, 8 Os 2.83-2.92

- Spin magnetization: 0.00 μB per cell
- Crystal system: monoclinic


Entry B
Computed, not measured: a relaxed TaOs2W crystal at the PBE level of DFT.

abc: 2.9056 3.8324 5.7051
angles: 90.00 90.00 90.00
Last column: nearest neighbours and their distance in Å.
Space group Pmm2 (No. 25)
Asymmetric unit:
Ta 0.0000 0.0000 0.0000  6 Os 2.74-2.88, 2 Ta 2.91, 4 W 2.91
Os 0.0000 0.0000 0.5045  4 W 2.70, 2 Ta 2.83-2.88, 6 Os 2.84-2.91
Os 0.5000 0.5000 0.7701  4 Ta 2.74, 2 W 2.75-2.95, 6 Os 2.84-2.91
W 0.5000 0.5000 0.2876  6 Os 2.70-2.95, 2 W 2.91, 4 Ta 2.91

- Spin magnetization: 0.00 μB per cell
- Crystal system: orthorhombic


Entry C
Computed, not measured: a relaxed TaOs2W crystal at the PBE level of DFT.

abc: 2.7921 2.7921 28.1485
angles: 90.00 90.00 120.00
Last column: nearest neighbours and their distance in Å.
Space group R3m (No. 160, hexagonal axes)
Asymmetric unit:
Ta 0.0000 0.0000 0.0000  6 Ta 2.79, 3 Os 2.87, 3 W 3.01
Os 0.0000 0.0000 0.2489  9 Os 2.74-2.79, 3 Ta 2.87
Os 0.0000 0.0000 0.5036  9 Os 2.74-2.79, 3 W 2.77
W 0.0000 0.0000 0.7570  3 Os 2.77, 6 W 2.79, 3 Ta 3.01

- Spin magnetization: 0.00 μB per cell
- Crystal system: trigonal


Entry D
Computed, not measured: a relaxed TaOs2W crystal at the PBE level of DFT.

abc: 3.1279 4.4045 4.5810
angles: 90.00 90.00 90.00
Last column: nearest neighbours and their distance in Å.
Space group Pmmm (No. 47)
Asymmetric unit:
Ta 0.0000 0.0000 0.0000  4 Os 2.70, 4 W 2.77
Os 0.0000 0.5000 0.5000  4 W 2.70, 4 Os 2.77
Os 0.5000 0.5000 0.0000  4 Ta 2.70, 4 Os 2.77
W 0.5000 0.0000 0.5000  4 Os 2.70, 4 Ta 2.77

- Spin magnetization: 0.00 μB per cell
- Crystal system: orthorhombic


Which structure is the least stable? The one labeled entry C.


Entry A
Computed, not measured: a relaxed TaOs2W crystal at the PBE level of DFT.

abc: 2.7639 2.7639 8.3627
angles: 90.00 90.00 90.00
Last column: nearest neighbours and their distance in Å.
Space group P4mm (No. 99)
Asymmetric unit:
Ta 0.0000 0.0000 0.0000  4 Ta 2.76, 4 Os 2.94, 4 W 3.01
Os 0.0000 0.0000 0.5253  8 Os 2.64-2.76, 4 W 2.87
Os 0.5000 0.5000 0.7376  8 Os 2.64-2.76, 4 Ta 2.94
W 0.5000 0.5000 0.2742  4 W 2.76, 4 Os 2.87, 4 Ta 3.01

- Spin magnetization: 0.00 μB per cell
- Crystal system: tetragonal


Entry B
Computed, not measured: a relaxed TaOs2W crystal at the PBE level of DFT.

abc: 2.7995 2.7995 27.7655
angles: 90.00 90.00 120.00
Last column: nearest neighbours and their distance in Å.
Space group R-3m (No. 166, hexagonal axes)
Asymmetric unit:
Ta 0.0000 0.0000 0.0000  6 Ta 2.80, 6 Os 2.88
Os 0.0000 0.0000 0.2475  3 W 2.77, 6 Os 2.80, 3 Ta 2.88
W 0.0000 0.0000 0.5000  6 Os 2.77, 6 W 2.80

- Spin magnetization: 0.00 μB per cell
- Crystal system: trigonal


Which structure is the least stable? The one labeled entry B.


Entry A
Computed, not measured: a relaxed TaOs2W crystal at the PBE level of DFT.

abc: 2.8569 2.8569 7.7142
angles: 90.00 90.00 90.00
Last column: nearest neighbours and their distance in Å.
Space group P4/mmm (No. 123)
Asymmetric unit:
Ta 0.0000 0.0000 0.0000  8 Os 2.84, 4 Ta 2.86
Os 0.5000 0.5000 0.2583  4 W 2.75, 4 Ta 2.84, 4 Os 2.86
W 0.0000 0.0000 0.5000  8 Os 2.75, 4 W 2.86

- Spin magnetization: 0.00 μB per cell
- Crystal system: tetragonal


Entry B
Computed, not measured: a relaxed TaOs2W crystal at the PBE level of DFT.

abc: 4.6223 4.6223 2.9688
angles: 90.00 90.00 90.00
Last column: nearest neighbours and their distance in Å.
Space group P4/mmm (No. 123)
Asymmetric unit:
Ta 0.0000 0.0000 0.0000  8 Os 2.75, 2 Ta 2.97
Os 0.0000 0.5000 0.5000  4 Ta 2.75, 4 W 2.75, 2 Os 2.97
W 0.5000 0.5000 0.0000  8 Os 2.75, 2 W 2.97

- Spin magnetization: 0.00 μB per cell
- Crystal system: tetragonal


Entry C
Computed, not measured: a relaxed TaOs2W crystal at the PBE level of DFT.

abc: 6.3259 6.3259 6.3259
angles: 90.00 90.00 90.00
Last column: nearest neighbours and their distance in Å.
Space group Fm-3m (No. 225)
Asymmetric unit:
Ta 0.0000 0.0000 0.0000  8 Os 2.74
Os 0.2500 0.2500 0.2500  4 W 2.74, 4 Ta 2.74
W 0.0000 0.0000 0.5000  8 Os 2.74

- Spin magnetization: 0.00 μB per cell
- Crystal system: cubic


Which structure is the least stable? The one labeled entry C.


Entry A
Computed, not measured: a relaxed TaOs2W crystal at the PBE level of DFT.

abc: 3.1441 3.1441 6.4875
angles: 90.00 90.00 90.00
Last column: nearest neighbours and their distance in Å.
Space group P4mm (No. 99)
Asymmetric unit:
Ta 0.0000 0.0000 0.0000  4 Os 2.65, 4 W 2.82
Os 0.0000 0.0000 0.4859  4 W 2.63, 4 Os 2.92
Os 0.5000 0.5000 0.7783  4 Ta 2.65, 4 Os 2.92
W 0.5000 0.5000 0.2686  4 Os 2.63, 4 Ta 2.82

- Spin magnetization: 0.00 μB per cell
- Crystal system: tetragonal


Entry B
Computed, not measured: a relaxed TaOs2W crystal at the PBE level of DFT.

abc: 4.0444 4.0444 7.6875
angles: 90.00 90.00 90.00
Last column: nearest neighbours and their distance in Å.
Space group I4/mmm (No. 139)
Asymmetric unit:
Ta 0.0000 0.0000 0.0000  8 Os 2.79, 4 W 2.86
Os 0.0000 0.5000 0.2500  4 Ta 2.79, 4 W 2.79, 4 Os 2.86
W 0.0000 0.0000 0.5000  8 Os 2.79, 4 Ta 2.86

- Spin magnetization: 0.00 μB per cell
- Crystal system: tetragonal


Entry C
Computed, not measured: a relaxed TaOs2W crystal at the PBE level of DFT.

abc: 3.1498 4.4562 9.0463
angles: 90.00 90.00 90.00
Last column: nearest neighbours and their distance in Å.
Space group Imm2 (No. 44)
Asymmetric unit:
Ta 0.0000 0.0000 0.0000  6 Os 2.68-2.73, 2 W 2.69
Os 0.0000 0.0000 0.5150  2 W 2.71, 4 Ta 2.73, 4 Os 2.94-3.02
Os 0.0000 0.5000 0.7402  2 Ta 2.68, 4 W 2.73, 2 Os 2.94
W 0.0000 0.5000 0.2584  2 Ta 2.69, 6 Os 2.71-2.73

- Spin magnetization: 0.00 μB per cell
- Crystal system: orthorhombic


Which structure is the least stable? The one labeled entry A.


Entry A
Computed, not measured: a relaxed TaOs2W crystal at the PBE level of DFT.

abc: 9.4408 2.8309 4.7986
angles: 90.00 99.56 90.00
Last column: nearest neighbours and their distance in Å.
Space group Cm (No. 8)
Asymmetric unit:
Ta 0.0000 0.0000 0.0000  7 Os 2.71-2.85, 1 W 2.80, 2 Ta 2.83
Os 0.0140 0.5000 0.5086  5 Os 2.73-3.03, 3 W 2.76-2.77, 4 Ta 2.77-2.81
Os 0.2446 0.0000 0.7738  3 Ta 2.71-2.85, 5 Os 2.73-3.03, 4 W 2.73-2.85
W 0.2679 0.5000 0.2960  7 Os 2.73-2.85, 3 Ta 2.80-3.04, 2 W 2.83

- Spin magnetization: 0.00 μB per cell
- Crystal system: monoclinic


Entry B
Computed, not measured: a relaxed TaOs2W crystal at the PBE level of DFT.

abc: 3.8938 3.8938 8.3238
angles: 90.00 90.00 90.00
Last column: nearest neighbours and their distance in Å.
Space group I-4m2 (No. 119)
Asymmetric unit:
Ta 0.0000 0.0000 0.0000  8 Os 2.75-2.85, 4 W 2.85
Os 0.0000 0.0000 0.5000  4 Ta 2.75, 4 W 2.85, 4 Os 2.85
Os 0.0000 0.5000 0.2500  4 W 2.75, 4 Ta 2.85, 4 Os 2.85
W 0.0000 0.5000 0.7500  8 Os 2.75-2.85, 4 Ta 2.85

- Spin magnetization: 0.00 μB per cell
- Crystal system: tetragonal


Which structure is the least stable? The one labeled entry B.